{
  "formula": "V3As2O9",
  "functional": "GGA+U",
  "state": "optimized geometry",
  "lattice": [[9.060, 0.000, 0.000], [0.000, 9.060, 0.000], [0.000, 0.000, 4.806]],
  "species": ["V", "V", "V", "V", "V", "V", "As", "As", "As", "As", "O", "O", "O", "O", "O", "O", "O", "O", "O", "O", "O", "O", "O", "O", "O", "O", "O", "O"],
  "frac_coords": [[0.000, 0.000, 0.000], [0.118, 0.382, 0.923], [0.382, 0.882, 0.923], [0.500, 0.500, 0.000], [0.618, 0.118, 0.923], [0.882, 0.618, 0.923], [0.199, 0.699, 0.275], [0.301, 0.199, 0.275], [0.699, 0.801, 0.275], [0.801, 0.301, 0.275], [0.000, 0.000, 0.661], [0.097, 0.597, 0.002], [0.120, 0.182, 0.100], [0.134, 0.366, 0.582], [0.182, 0.880, 0.100], [0.318, 0.380, 0.100], [0.366, 0.866, 0.582], [0.380, 0.682, 0.100], [0.403, 0.097, 0.002], [0.500, 0.500, 0.661], [0.597, 0.903, 0.002], [0.620, 0.318, 0.100], [0.634, 0.134, 0.582], [0.682, 0.620, 0.100], [0.818, 0.120, 0.100], [0.866, 0.634, 0.582], [0.880, 0.818, 0.100], [0.903, 0.403, 0.002]]
}

***

{
  "formula": "VAs3O",
  "functional": "GGA+U",
  "state": "optimized geometry",
  "lattice": [[4.644, 0.000, 0.000], [0.000, 4.644, 0.000], [0.000, 0.000, 4.644]],
  "species": ["V", "As", "As", "As", "O"],
  "frac_coords": [[0.000, 0.000, 0.000], [0.000, 0.000, 0.500], [0.000, 0.500, 0.000], [0.500, 0.000, 0.000], [0.500, 0.500, 0.500]]
}

***

no.,Fermi-level density of states (states/eV per atom),ΔE to the lowest computed polymorph (eV per atom)
1,0.000,0.0118
2,1.037,0.5352